This record from the Alexandria database describes a relaxed structure of Co3AuO. The functional is GGA+U.

Structure (POSCAR):
```
Co3AuO
1.0
-2.391 3.534 -2.239
-2.993 0.356 3.759
2.922 3.256 2.019
Co Au O
3 1 1
direct
0.000 0.500 0.000
0.000 0.000 0.500
0.500 0.000 0.000
0.000 0.000 0.000
0.500 0.500 0.500
```

Calculated values
energy above the lowest structure with this stoichiometry: 1484 meV per atom
N(E_F): 7.19 states/eV/cell